[1]
{
  "formula": "RbBeCo2",
  "functional": "PBE-GGA",
  "state": "relaxed",
  "lattice": [[4.7219, 0.0000, 0.0000], [0.0000, 4.7219, 0.0000], [0.0000, 0.0000, 15.4750]],
  "species": ["Rb", "Rb", "Rb", "Rb", "Be", "Be", "Be", "Be", "Co", "Co", "Co", "Co", "Co", "Co", "Co", "Co"],
  "fractional_positions": [[0.0000, 0.2500, 0.3750], [0.0000, 0.7500, 0.6250], [0.5000, 0.2500, 0.1250], [0.5000, 0.7500, 0.8750], [0.0000, 0.2500, 0.8750], [0.0000, 0.7500, 0.1250], [0.5000, 0.2500, 0.6250], [0.5000, 0.7500, 0.3750], [0.0000, 0.0000, 0.0000], [0.0000, 0.5000, 0.0000], [0.2500, 0.2500, 0.7500], [0.2500, 0.7500, 0.2500], [0.5000, 0.0000, 0.5000], [0.5000, 0.5000, 0.5000], [0.7500, 0.2500, 0.7500], [0.7500, 0.7500, 0.2500]],
  "space_group": "I4_1/amd (141)",
  "polymorph_energy_kj_per_mol_fu": 0
}

[2]
{
  "formula": "Rb2BeCo",
  "functional": "PBE-GGA",
  "state": "relaxed",
  "lattice": [[8.3480, 0.0000, 0.0000], [0.0000, 8.3480, 0.0000], [0.0000, 0.0000, 8.3480]],
  "species": ["Rb", "Rb", "Rb", "Rb", "Rb", "Rb", "Rb", "Rb", "Be", "Be", "Be", "Be", "Co", "Co", "Co", "Co"],
  "fractional_positions": [[0.2500, 0.2500, 0.2500], [0.2500, 0.2500, 0.7500], [0.2500, 0.7500, 0.2500], [0.2500, 0.7500, 0.7500], [0.7500, 0.2500, 0.2500], [0.7500, 0.2500, 0.7500], [0.7500, 0.7500, 0.2500], [0.7500, 0.7500, 0.7500], [0.0000, 0.0000, 0.0000], [0.0000, 0.5000, 0.5000], [0.5000, 0.0000, 0.5000], [0.5000, 0.5000, 0.0000], [0.0000, 0.0000, 0.5000], [0.0000, 0.5000, 0.0000], [0.5000, 0.0000, 0.0000], [0.5000, 0.5000, 0.5000]],
  "space_group": "Fm-3m (225)"
}

[3]
{
  "formula": "RbBe3Co",
  "functional": "PBE-GGA",
  "state": "relaxed",
  "lattice": [[4.3744, 0.0000, 0.0000], [0.0000, 4.3744, 0.0000], [0.0000, 0.0000, 4.3744]],
  "species": ["Rb", "Be", "Be", "Be", "Co"],
  "fractional_positions": [[0.0000, 0.0000, 0.0000], [0.0000, 0.5000, 0.5000], [0.5000, 0.0000, 0.5000], [0.5000, 0.5000, 0.0000], [0.5000, 0.5000, 0.5000]],
  "space_group": "Pm-3m (221)"
}

[4]
{
  "formula": "RbBeCo2",
  "functional": "PBE-GGA",
  "state": "relaxed",
  "lattice": [[6.2169, 0.0000, 0.0000], [0.0000, 6.2169, 0.0000], [0.0000, 0.0000, 6.2169]],
  "species": ["Rb", "Rb", "Rb", "Rb", "Be", "Be", "Be", "Be", "Co", "Co", "Co", "Co", "Co", "Co", "Co", "Co"],
  "fractional_positions": [[0.0000, 0.0000, 0.0000], [0.0000, 0.5000, 0.5000], [0.5000, 0.0000, 0.5000], [0.5000, 0.5000, 0.0000], [0.0000, 0.0000, 0.5000], [0.0000, 0.5000, 0.0000], [0.5000, 0.0000, 0.0000], [0.5000, 0.5000, 0.5000], [0.2500, 0.2500, 0.2500], [0.2500, 0.2500, 0.7500], [0.2500, 0.7500, 0.2500], [0.2500, 0.7500, 0.7500], [0.7500, 0.2500, 0.2500], [0.7500, 0.2500, 0.7500], [0.7500, 0.7500, 0.2500], [0.7500, 0.7500, 0.7500]],
  "space_group": "Fm-3m (225)",
  "polymorph_energy_kj_per_mol_fu": 232
}

[5]
{
  "formula": "RbBe2CoSb",
  "functional": "PBE-GGA",
  "state": "relaxed",
  "lattice": [[4.9883, 0.0000, 0.0000], [0.0000, 4.9883, 0.0000], [0.0000, 0.0000, 4.7538]],
  "species": ["Rb", "Be", "Be", "Co", "Sb"],
  "fractional_positions": [[0.0000, 0.0000, 0.0000], [0.0000, 0.5000, 0.0000], [0.5000, 0.0000, 0.0000], [0.0000, 0.0000, 0.5000], [0.5000, 0.5000, 0.5000]],
  "space_group": "P4/mmm (123)",
  "e_form_raw_ev_per_atom": 2.33
}

[6]
{
  "formula": "RbBe2CoSi",
  "functional": "PBE-GGA",
  "state": "relaxed",
  "lattice": [[4.3053, 0.0000, 0.0000], [0.0000, 4.3053, 0.0000], [0.0000, 0.0000, 6.6444]],
  "species": ["Rb", "Be", "Be", "Co", "Si"],
  "fractional_positions": [[0.0000, 0.0000, 0.0000], [0.0000, 0.5000, 0.5000], [0.5000, 0.0000, 0.5000], [0.5000, 0.5000, 0.0000], [0.0000, 0.0000, 0.5000]],
  "space_group": "P4/mmm (123)",
  "e_form_raw_ev_per_atom": 1.33
}

[7]
{
  "formula": "Rb2BeCoSn",
  "functional": "PBE-GGA",
  "state": "relaxed",
  "lattice": [[6.5980, 0.0000, 0.0000], [0.0000, 6.5980, 0.0000], [0.0000, 0.0000, 4.1366]],
  "species": ["Rb", "Rb", "Be", "Co", "Sn"],
  "fractional_positions": [[0.0000, 0.5000, 0.0000], [0.5000, 0.0000, 0.0000], [0.0000, 0.0000, 0.5000], [0.0000, 0.0000, 0.0000], [0.5000, 0.5000, 0.5000]],
  "space_group": "P4/mmm (123)"
}

[8]
{
  "formula": "RbBeCoW2",
  "functional": "PBE-GGA",
  "state": "relaxed",
  "lattice": [[4.7165, 0.0000, 0.0000], [0.0000, 4.7165, 0.0000], [0.0000, 0.0000, 4.1132]],
  "species": ["Rb", "Be", "Co", "W", "W"],
  "fractional_positions": [[0.0000, 0.0000, 0.0000], [0.0000, 0.0000, 0.5000], [0.5000, 0.5000, 0.5000], [0.0000, 0.5000, 0.0000], [0.5000, 0.0000, 0.0000]],
  "space_group": "P4/mmm (123)"
}

[9]
{
  "formula": "BeCoRe",
  "functional": "PBE-GGA",
  "state": "relaxed",
  "lattice": [[7.7741, 0.0000, 0.0000], [0.0000, 4.2928, 0.0000], [-3.8481, 0.0000, 3.9134]],
  "species": ["Be", "Be", "Be", "Be", "Co", "Co", "Co", "Co", "Re", "Re", "Re", "Re"],
  "fractional_positions": [[0.0000, 0.2505, 0.0000], [0.0000, 0.7495, 0.0000], [0.5000, 0.2495, 0.0000], [0.5000, 0.7505, 0.0000], [0.1680, 0.0000, 0.8159], [0.1720, 0.5000, 0.5236], [0.6680, 0.5000, 0.8159], [0.6720, 0.0000, 0.5236], [0.3509, 0.0000, 0.5017], [0.3521, 0.5000, 0.2017], [0.8509, 0.5000, 0.5017], [0.8521, 0.0000, 0.2017]],
  "space_group": "Cm (8)",
  "polymorph_energy_kj_per_mol_fu": 41
}

[10]
{
  "formula": "Be2CoRe2",
  "functional": "PBE-GGA",
  "state": "relaxed",
  "lattice": [[5.5192, 0.0000, 0.0000], [0.0000, 5.5192, 0.0000], [0.0000, 0.0000, 3.5779]],
  "species": ["Be", "Be", "Be", "Be", "Co", "Co", "Re", "Re", "Re", "Re"],
  "fractional_positions": [[0.1306, 0.3694, 0.0000], [0.3694, 0.8694, 0.0000], [0.6306, 0.1306, 0.0000], [0.8694, 0.6306, 0.0000], [0.0000, 0.0000, 0.0000], [0.5000, 0.5000, 0.0000], [0.1722, 0.6722, 0.5000], [0.3278, 0.1722, 0.5000], [0.6722, 0.8278, 0.5000], [0.8278, 0.3278, 0.5000]],
  "space_group": "P4/mbm (127)"
}

[11]
{
  "formula": "Be3CoRe",
  "functional": "PBE-GGA",
  "state": "relaxed",
  "lattice": [[3.7641, 0.0000, 0.0000], [0.0000, 3.7641, 0.0000], [0.0000, 0.0000, 3.7641]],
  "species": ["Be", "Be", "Be", "Co", "Re"],
  "fractional_positions": [[0.0000, 0.0000, 0.5000], [0.0000, 0.5000, 0.0000], [0.5000, 0.0000, 0.0000], [0.0000, 0.0000, 0.0000], [0.5000, 0.5000, 0.5000]],
  "space_group": "Pm-3m (221)",
  "polymorph_energy_kj_per_mol_fu": 0
}

[12]
{
  "formula": "BeCo2Re",
  "functional": "PBE-GGA",
  "state": "relaxed",
  "lattice": [[2.6260, 0.0000, 0.0000], [-1.3130, 2.2742, 0.0000], [0.0000, 0.0000, 23.5940]],
  "species": ["Be", "Be", "Be", "Co", "Co", "Co", "Co", "Co", "Co", "Re", "Re", "Re"],
  "fractional_positions": [[0.0000, 0.0000, 0.0000], [0.3333, 0.6667, 0.6667], [0.6667, 0.3333, 0.3333], [0.0000, 0.0000, 0.4913], [0.0000, 0.0000, 0.7422], [0.3333, 0.6667, 0.1580], [0.3333, 0.6667, 0.4089], [0.6667, 0.3333, 0.0755], [0.6667, 0.3333, 0.8246], [0.0000, 0.0000, 0.2474], [0.3333, 0.6667, 0.9141], [0.6667, 0.3333, 0.5808]],
  "space_group": "R3m (160)"
}

Number 1: E -3.72 eV per atom, magnetic moment 11.3 μB per cell. Number 2: E -1.79 eV per atom, magnetic moment 6.4 μB per cell. Number 3: E -3.10 eV per atom, magnetic moment 0.0 μB per cell. Number 4: E -3.12 eV per atom, magnetic moment 4.2 μB per cell. Number 5: E -1.60 eV per atom, magnetic moment 1.5 μB per cell. Number 6: E -2.86 eV per atom, magnetic moment 2.1 μB per cell. Number 7: E -2.48 eV per atom, magnetic moment 2.2 μB per cell. Number 8: E -3.63 eV per atom, magnetic moment 0.0 μB per cell. Number 9: E -7.88 eV per atom, magnetic moment 0.0 μB per cell. Number 10: E -8.02 eV per atom, magnetic moment 0.0 μB per cell. Number 11: E -5.46 eV per atom, magnetic moment 0.0 μB per cell. Number 12: E -7.44 eV per atom, magnetic moment 8.5 μB per cell.